Compound: VInP2S
Source: Alexandria via LeMat-Bulk
Functional: PBE
Structure: optimized geometry

**Formation energy (no corrections)**: 1.203 eV per atom
**Space-group type**: No. 123

Unit cell a=4.933 b=4.933 c=5.028 alpha=90.00 beta=90.00 gamma=90.00
Sites, in units of the cell vectors:
P 0.500 0.000 0.000
P 0.000 0.500 0.000
In 0.000 0.000 0.000
S 0.000 0.000 0.500
V 0.500 0.500 0.500


Compound: NpPdSe2
Source: Alexandria via LeMat-Bulk
Functional: PBE
Structure: optimized geometry

**Formation energy (no corrections)**: -0.811 eV per atom
**Energy above the lowest structure with this stoichiometry**: 0.0 meV/atom
**Space-group type**: No. 156

Unit cell a=4.201 b=4.201 c=6.380 alpha=89.97 beta=89.97 gamma=60.01
Sites, in units of the cell vectors:
Se 0.509 0.954 0.023
Np 0.843 0.288 0.780
Pd 0.176 0.621 0.134
Se 0.176 0.621 0.542


Compound: La4Tl2Sn
Source: Alexandria via LeMat-Bulk
Functional: PBE
Structure: optimized geometry

**Energy above the lowest structure with this stoichiometry**: 0.0 meV/atom
**DFT formation energy**: -0.366 eV/atom
**Space-group type**: No. 166

Unit cell a=5.568 b=5.568 c=9.571 alpha=73.09 beta=73.09 gamma=60.00
Sites, in units of the cell vectors:
Tl 0.756 0.756 0.733
La 0.623 0.623 0.131
La 0.876 0.876 0.371
Sn 0.000 0.000 0.000
La 0.377 0.377 0.869
La 0.124 0.124 0.629
Tl 0.244 0.244 0.267


Compound: CaCrRe2
Source: Alexandria via LeMat-Bulk
Functional: PBE
Structure: optimized geometry

**Energy above the lowest structure with this stoichiometry**: 0.0 meV/atom
**DFT formation energy**: 0.479 eV/atom
**Space-group type**: No. 99

Unit cell a=3.092 b=3.092 c=7.748 alpha=90.00 beta=90.00 gamma=90.00
Sites, in units of the cell vectors:
Re 0.000 0.000 0.011
Cr 0.500 0.500 0.809
Re 0.500 0.500 0.196
Ca 0.000 0.000 0.484


Compound: KAlSi3O8
Source: Alexandria via LeMat-Bulk
Functional: PBE
Structure: optimized geometry

**Formation energy (no corrections)**: -2.818 eV per atom
**Energy above the lowest structure with this stoichiometry**: 0.0 meV/atom
**Space-group type**: No. 2

Unit cell a=7.322 b=7.718 c=8.028 alpha=112.75 beta=104.36 gamma=103.47
Sites, in units of the cell vectors:
O 0.254 0.718 0.358
O 0.757 0.021 0.310
K 0.862 0.708 0.725
O 0.243 0.979 0.690
O 0.271 0.347 0.737
O 0.589 0.700 0.950
Si 0.233 0.193 0.830
Al 0.218 0.824 0.200
O 0.597 0.932 0.687
Si 0.767 0.807 0.170
O 0.018 0.145 0.855
K 0.138 0.292 0.275
Si 0.353 0.824 0.594
O 0.714 0.365 0.355
Si 0.341 0.595 0.835
Si 0.647 0.176 0.406
O 0.286 0.635 0.645
O 0.778 0.323 0.028
O 0.729 0.653 0.263
O 0.411 0.300 0.050
Si 0.659 0.405 0.165
Al 0.782 0.176 0.800
O 0.403 0.068 0.313
O 0.982 0.855 0.145
O 0.746 0.282 0.642
O 0.222 0.677 0.972


Compound: Ce2PmSm
Source: Alexandria via LeMat-Bulk
Functional: PBE
Structure: optimized geometry

**Energy above the lowest structure with this stoichiometry**: 7.1 meV/atom
**DFT formation energy**: 0.120 eV/atom
**Space-group type**: No. 123

Unit cell a=3.496 b=3.496 c=10.299 alpha=90.00 beta=90.00 gamma=90.00
Sites, in units of the cell vectors:
Ce 0.000 0.000 0.251
Pm 0.500 0.500 0.000
Sm 0.500 0.500 0.500
Ce 0.000 0.000 0.749


Compound: CdTc2Ir
Source: Alexandria via LeMat-Bulk
Functional: PBE
Structure: optimized geometry

**DFT formation energy**: 0.334 eV/atom
**Space-group type**: No. 139

Unit cell a=5.048 b=5.048 c=5.049 alpha=135.43 beta=135.42 gamma=64.86
Sites, in units of the cell vectors:
Tc 0.500 0.500 0.000
Cd 0.750 0.250 0.500
Tc 0.000 0.000 0.000
Ir 0.250 0.750 0.500


Compound: LiTl3Cd3O8
Source: Alexandria via LeMat-Bulk
Functional: PBE
Structure: optimized geometry

**Formation energy (no corrections)**: -0.819 eV per atom
**Space-group type**: No. 12

Unit cell a=6.650 b=6.652 c=6.697 alpha=119.74 beta=90.00 gamma=119.99
Sites, in units of the cell vectors:
O 0.233 0.987 0.721
Tl 0.500 0.000 0.500
O 0.246 0.013 0.279
O 0.245 0.490 0.235
O 0.233 0.467 0.723
Tl 0.000 0.500 0.500
Cd 0.000 0.000 0.000
O 0.767 0.013 0.279
Li 0.000 0.000 0.500
Tl 0.500 0.500 0.500
Cd 0.000 0.500 0.000
O 0.767 0.533 0.277
Cd 0.500 0.500 0.000
O 0.755 0.510 0.765
O 0.754 0.987 0.721


Compound: Tb8Tm5Zr
Source: Alexandria via LeMat-Bulk
Functional: PBE
Structure: optimized geometry

**DFT formation energy**: 0.203 eV/atom
**Space-group type**: No. 5

Unit cell a=8.991 b=8.545 c=8.991 alpha=83.20 beta=126.51 gamma=123.00
Sites, in units of the cell vectors:
Zr 0.318 0.500 0.818
Tb 0.512 0.635 0.233
Tm 0.968 0.246 0.940
Tb 0.901 0.561 0.585
Tm 0.907 0.816 0.190
Tb 0.115 0.698 0.049
Tb 0.350 0.302 0.416
Tb 0.992 0.060 0.563
Tb 0.597 0.365 0.877
Tb 0.024 0.439 0.340
Tm 0.495 0.000 0.495
Tb 0.502 0.940 0.932
Tm 0.694 0.754 0.723
Tm 0.374 0.184 0.091


Compound: Rb2LiHoBr6
Source: Alexandria via LeMat-Bulk
Functional: PBE
Structure: optimized geometry

**Formation energy (no corrections)**: -1.783 eV per atom
**Space-group type**: No. 14

Unit cell a=7.767 b=7.853 c=11.034 alpha=90.00 beta=89.90 gamma=90.00
Sites, in units of the cell vectors:
Ho 0.500 0.000 0.500
Rb 0.491 0.460 0.249
Br 0.713 0.285 0.526
Rb 0.509 0.540 0.751
Rb 0.991 0.040 0.749
Ho 0.000 0.500 0.000
Br 0.447 0.995 0.750
Br 0.053 0.495 0.750
Br 0.553 0.005 0.250
Br 0.947 0.505 0.250
Li 0.500 0.000 0.000
Br 0.285 0.714 0.028
Br 0.785 0.786 0.528
Br 0.787 0.785 0.974
Br 0.287 0.715 0.474
Rb 0.009 0.960 0.251
Li 0.000 0.500 0.500
Br 0.715 0.286 0.972
Br 0.215 0.214 0.472
Br 0.213 0.215 0.026


Compound: CsZnI2Cl
Source: Alexandria via LeMat-Bulk
Functional: PBE
Structure: optimized geometry

**Formation energy (no corrections)**: -1.006 eV per atom
**Space-group type**: No. 123

Unit cell a=5.861 b=5.861 c=5.083 alpha=90.00 beta=90.00 gamma=90.00
Sites, in units of the cell vectors:
I 0.500 0.000 0.000
Cl 0.000 0.000 0.500
Cs 0.500 0.500 0.500
Zn 0.000 0.000 0.000
I 0.000 0.500 0.000


Compound: Ac4Bi2AsN2
Source: Alexandria via LeMat-Bulk
Functional: PBE
Structure: optimized geometry

**Formation energy (no corrections)**: -1.064 eV per atom
**Space-group type**: No. 12

Unit cell a=4.360 b=9.622 c=8.813 alpha=117.87 beta=104.32 gamma=90.00
Sites, in units of the cell vectors:
N 0.677 0.982 0.355
Ac 0.778 0.868 0.555
As 0.000 0.000 0.000
Ac 0.477 0.207 0.953
Bi 0.902 0.447 0.804
Ac 0.222 0.132 0.445
N 0.323 0.018 0.645
Bi 0.098 0.553 0.196
Ac 0.523 0.793 0.047


no.,ρ (g cm⁻³)
1,3.5
2,8.5
3,7.4
4,10.4
5,2.5
6,7.6
7,13.3
8,8.6
9,8.3
10,4.1
11,4.6
12,7.6